# 1
A geometry-optimized Nd4Pd2I3 structure. Source: Alexandria, functional GGA-PBE.

raw formation energy	-0.9857	eV per atom
calculated density	6.25	g/cm3
volume	34.54	A^3/atom
spin magnetization	0.00	μB/cell

Cell lengths 7.352, 4.245, 19.925 Å; angles 90.00, 90.05, 90.00 degrees
Space group C2/m (No. 12)
One atom of each set of equivalent atoms:
Nd  0.001  0.000  0.288 [4 per cell]
Nd  0.166  0.500  0.874 [4 per cell]
Pd  0.167  0.500  0.203 [4 per cell]
I  0.000  0.000  0.000 [2 per cell]
I  0.166  0.500  0.603 [4 per cell]


# 2
A geometry-optimized NdPdI2 structure. Source: Alexandria, functional GGA-PBE.

raw formation energy	-0.1861	eV per atom
calculated density	6.10	g/cm3
volume	34.31	A^3/atom
spin magnetization	0.04	μB/cell

Cell lengths 4.1242, 4.1242, 27.9528 Å; angles 90.00, 90.00, 120.00 degrees
Space group R-3m (No. 166, hexagonal axes)
One atom of each set of equivalent atoms:
Nd  0.0000  0.0000  0.0000 [3 per cell]
Pd  0.0000  0.0000  0.5000 [3 per cell]
I  0.0000  0.0000  0.1088 [6 per cell]


# 3
A geometry-optimized Nd4PdI5 structure. Source: Alexandria, functional GGA-PBE.

raw formation energy	-1.1426	eV per atom
calculated density	5.80	g/cm3
volume	37.73	A^3/atom
spin magnetization	0.00	μB/cell

Cell lengths 19.809, 4.235, 9.224 Å; angles 90.00, 102.77, 90.00 degrees
Space group C2/m (No. 12)
One atom of each set of equivalent atoms:
Nd  0.001  0.000  0.210 [4 per cell]
Nd  0.150  0.500  0.077 [4 per cell]
Pd  0.000  0.500  0.000 [2 per cell]
I  0.000  0.500  0.500 [2 per cell]
I  0.168  0.000  0.345 [4 per cell]
I  0.174  0.000  0.823 [4 per cell]


# 4
A geometry-optimized Nd7PdI12 structure. Source: Alexandria, functional GGA-PBE.

raw formation energy	-1.2504	eV per atom
calculated density	5.32	g/cm3
volume	41.16	A^3/atom
spin magnetization	1.27	μB/cell

Cell lengths 16.1786, 16.1786, 10.8957 Å; angles 90.00, 90.00, 120.00 degrees
Space group R-3 (No. 148, hexagonal axes)
One atom of each set of equivalent atoms:
Nd  0.0000  0.0000  0.0000 [3 per cell]
Nd  0.0441  0.8828  0.3486 [18 per cell]
Pd  0.0000  0.0000  0.5000 [3 per cell]
I  0.0217  0.4356  0.1616 [18 per cell]
I  0.0508  0.8666  0.8415 [18 per cell]


# 5
A geometry-optimized Nd8PdPt3I4 structure. Source: Alexandria, functional GGA-PBE.

raw formation energy	-1.0577	eV per atom
calculated density	7.62	g/cm3
volume	32.06	A^3/atom
spin magnetization	0.00	μB/cell

Cell lengths 8.5519, 8.5519, 24.2926 Å; angles 90.00, 90.00, 120.00 degrees
Space group R-3m (No. 166, hexagonal axes)
One atom of each set of equivalent atoms:
Nd  0.0000  0.0000  0.2289 [6 per cell]
Nd  0.0029  0.5015  0.7708 [18 per cell]
Pd  0.0000  0.0000  0.5000 [3 per cell]
Pt  0.0000  0.5000  0.5000 [9 per cell]
I  0.0000  0.0000  0.0000 [3 per cell]
I  0.0000  0.5000  0.0000 [9 per cell]


# 6
A geometry-optimized Nd8Pd3PtI4 structure. Source: Alexandria, functional GGA-PBE.

raw formation energy	-0.9302	eV per atom
calculated density	7.05	g/cm3
volume	32.04	A^3/atom
spin magnetization	0.00	μB/cell

Cell lengths 8.5473, 8.5473, 24.3105 Å; angles 90.00, 90.00, 120.00 degrees
Space group R-3m (No. 166, hexagonal axes)
One atom of each set of equivalent atoms:
Nd  0.0000  0.0000  0.2297 [6 per cell]
Nd  0.0029  0.5014  0.2294 [18 per cell]
Pd  0.0000  0.5000  0.5000 [9 per cell]
Pt  0.0000  0.0000  0.5000 [3 per cell]
I  0.0000  0.0000  0.0000 [3 per cell]
I  0.0000  0.5000  0.0000 [9 per cell]


# 7
A geometry-optimized Nd8Pd3RhI4 structure. Source: Alexandria, functional GGA-PBE.

raw formation energy	-0.8901	eV per atom
calculated density	6.82	g/cm3
volume	31.73	A^3/atom
spin magnetization	0.00	μB/cell

Cell lengths 8.4953, 8.4953, 24.3719 Å; angles 90.00, 90.00, 120.00 degrees
Space group R-3m (No. 166, hexagonal axes)
One atom of each set of equivalent atoms:
Nd  0.0000  0.0000  0.2294 [6 per cell]
Nd  0.0078  0.5039  0.2293 [18 per cell]
Pd  0.0000  0.5000  0.5000 [9 per cell]
Rh  0.0000  0.0000  0.5000 [3 per cell]
I  0.0000  0.0000  0.0000 [3 per cell]
I  0.0000  0.5000  0.0000 [9 per cell]


# 8
A geometry-optimized Nd6PdRh2I3 structure. Source: Alexandria, functional GGA-PBE.

raw formation energy	-0.9263	eV per atom
calculated density	6.90	g/cm3
volume	31.26	A^3/atom
spin magnetization	0.00	μB/cell

Cell lengths 7.293, 12.628, 8.502 Å; angles 90.00, 106.61, 90.00 degrees
Space group C2/m (No. 12)
One atom of each set of equivalent atoms:
Nd  0.220  0.000  0.187 [4 per cell]
Nd  0.233  0.329  0.187 [8 per cell]
Pd  0.000  0.500  0.000 [2 per cell]
Rh  0.000  0.167  0.000 [4 per cell]
I  0.000  0.000  0.500 [2 per cell]
I  0.000  0.334  0.500 [4 per cell]


Question: Which value of spin magnetization does entry 4 give?
Answer: 1.27 μB/cell